{"formula": "CaLa2Pt", "functional": "GGA-PBE", "state": "relaxed", "magmom_total_mub_per_cell": 0.0, "rho_g_cm3": 7.54, "total_energy_ev_per_atom": -4.75, "relative_energy_mev_per_atom": 308.9, "lattice": [[-2.249, 2.249, 5.580], [2.249, -2.249, 5.580], [2.249, 2.249, -5.580]], "species": ["Ca", "La", "La", "Pt"], "fractional_positions": [[0.000, 0.000, 0.000], [0.250, 0.750, 0.500], [0.500, 0.500, 0.000], [0.750, 0.250, 0.500]]}